[1]
# PBE-GGA SrHfSb2As, relaxed
# **E_form (uncorrected)**: -0.3843 eV/atom
# **Crystal system**: tetragonal
# **Electronic total energy**: -0.1944 hartree per atom
data_SrHfSb2As
_chemical_formula_sum 'Sr1 Hf1 Sb2 As1'
_cell_length_a 5.571
_cell_length_b 5.571
_cell_length_c 5.157
_cell_angle_alpha 90.00
_cell_angle_beta 90.00
_cell_angle_gamma 90.00
_symmetry_space_group_name_H-M 'P 4/m m m'
_symmetry_Int_Tables_number 123
_symmetry_space_group_name_Hall '-P 4 2'
loop_
_atom_site_label
_atom_site_type_symbol
_atom_site_fract_x
_atom_site_fract_y
_atom_site_fract_z
_atom_site_occupancy
Sr1 Sr 0.000 0.000 0.000 1
Hf1 Hf 0.500 0.500 0.500 1
Sb1 Sb 0.000 0.500 0.500 1
As1 As 0.500 0.500 0.000 1

***

[2]
# PBE-GGA LiSnIrPd2, relaxed
# **Calculated formation energy**: 4.63 kcal/mol of atoms
# **Crystal system**: tetragonal
# **Electronic total energy**: -0.1776 hartree per atom
data_LiSnIrPd2
_chemical_formula_sum 'Li1 Sn1 Ir1 Pd2'
_cell_length_a 4.222
_cell_length_b 4.222
_cell_length_c 4.395
_cell_angle_alpha 90.00
_cell_angle_beta 90.00
_cell_angle_gamma 90.00
_symmetry_space_group_name_H-M 'P 4/m m m'
_symmetry_Int_Tables_number 123
_symmetry_space_group_name_Hall '-P 4 2'
loop_
_atom_site_label
_atom_site_type_symbol
_atom_site_fract_x
_atom_site_fract_y
_atom_site_fract_z
_atom_site_occupancy
Li1 Li 0.000 0.000 0.000 1
Sn1 Sn 0.500 0.500 0.500 1
Ir1 Ir 0.000 0.000 0.500 1
Pd1 Pd 0.000 0.500 0.000 1

***

Number 1: mass density 6.065 g/cm³. Number 2: mass density 11.251 g/cm³.